# 1
Here is crystalline Ce2ErPt9 at its relaxed geometry from the Alexandria database. Energies are from PBE.

```
data_Ce2ErPt9
_chemical_formula_sum 'Ce2 Er1 Pt9'
_space_group_name_H-M_alt 'P 4/m m m'
_space_group_IT_number 123
_space_group_name_Hall '-P 4 2'
_cell_length_a 4.148
_cell_length_b 4.148
_cell_length_c 12.424
_cell_angle_alpha 90.00
_cell_angle_beta 90.00
_cell_angle_gamma 90.00
loop_
_atom_site_label
_atom_site_fract_x
_atom_site_fract_y
_atom_site_fract_z
Ce1 0.000 0.000 0.169
Er1 0.000 0.000 0.500
Pt1 0.000 0.500 0.000
Pt2 0.000 0.500 0.335
Pt3 0.500 0.500 0.168
Pt4 0.500 0.500 0.500
```

Properties
polymorph energy (0 for the lowest one): 0 meV per atom
energy of formation: -1.03 eV/atom
Fermi-level density of states: 0.474 states/eV per atom

# 2
Here is crystalline CeEr2Pt at its relaxed geometry from the Alexandria database. Energies are from PBE.

```
data_CeEr2Pt
_chemical_formula_sum 'Ce4 Er8 Pt4'
_space_group_name_H-M_alt 'F m -3 m'
_space_group_IT_number 225
_space_group_name_Hall '-F 4 2 3'
_cell_length_a 7.149
_cell_length_b 7.149
_cell_length_c 7.149
_cell_angle_alpha 90.00
_cell_angle_beta 90.00
_cell_angle_gamma 90.00
loop_
_atom_site_label
_atom_site_fract_x
_atom_site_fract_y
_atom_site_fract_z
Ce1 0.000 0.000 0.000
Er1 0.250 0.250 0.250
Pt1 0.000 0.000 0.500
```

Properties
polymorph energy (0 for the lowest one): 253 meV per atom
energy of formation: -0.33 eV/atom
Fermi-level density of states: 2.019 states/eV per atom

# 3
Here is crystalline Ce2ErPt9 at its relaxed geometry from the Alexandria database. Energies are from PBE.

```
data_Ce2ErPt9
_chemical_formula_sum 'Ce6 Er3 Pt27'
_space_group_name_H-M_alt 'R -3 m'
_space_group_IT_number 166
_space_group_name_Hall '-R 3 2"'
_cell_length_a 5.4130
_cell_length_b 5.4130
_cell_length_c 27.6583
_cell_angle_alpha 90.00
_cell_angle_beta 90.00
_cell_angle_gamma 120.00
loop_
_atom_site_label
_atom_site_fract_x
_atom_site_fract_y
_atom_site_fract_z
Ce1 0.0000 0.0000 0.2023
Er1 0.0000 0.0000 0.0000
Pt1 0.0000 0.0000 0.3346
Pt2 0.0000 0.0000 0.5000
Pt3 0.0012 0.5006 0.7533
```

Properties
polymorph energy (0 for the lowest one): 271 meV per atom
energy of formation: -0.76 eV/atom
Fermi-level density of states: 0.997 states/eV per atom

# 4
Here is crystalline Ce3ErPt12 at its relaxed geometry from the Alexandria database. Energies are from PBE.

```
data_Ce3ErPt12
_chemical_formula_sum 'Ce3 Er1 Pt12'
_space_group_name_H-M_alt 'P 4/m m m'
_space_group_IT_number 123
_space_group_name_Hall '-P 4 2'
_cell_length_a 4.152
_cell_length_b 4.152
_cell_length_c 16.608
_cell_angle_alpha 90.00
_cell_angle_beta 90.00
_cell_angle_gamma 90.00
loop_
_atom_site_label
_atom_site_fract_x
_atom_site_fract_y
_atom_site_fract_z
Ce1 0.000 0.000 0.000
Ce2 0.000 0.000 0.253
Er1 0.000 0.000 0.500
Pt1 0.000 0.500 0.126
Pt2 0.000 0.500 0.376
Pt3 0.500 0.500 0.000
Pt4 0.500 0.500 0.252
Pt5 0.500 0.500 0.500
```

Properties
energy of formation: -1.02 eV/atom
Fermi-level density of states: 0.468 states/eV per atom

# 5
Here is crystalline CeErPt at its relaxed geometry from the Alexandria database. Energies are from PBE.

```
data_CeErPt
_chemical_formula_sum 'Ce4 Er4 Pt4'
_space_group_name_H-M_alt 'P 1 21/c 1'
_space_group_IT_number 14
_cell_length_a 6.544
_cell_length_b 7.327
_cell_length_c 6.862
_cell_angle_alpha 90.00
_cell_angle_beta 95.03
_cell_angle_gamma 90.00
loop_
_space_group_symop_operation_xyz
'x,y,z'
'-x,-y,-z'
'-x,y+1/2,-z+1/2'
'x,-y+1/2,z+1/2'
loop_
_atom_site_label
_atom_site_fract_x
_atom_site_fract_y
_atom_site_fract_z
Ce1 0.082 0.236 0.004
Er1 0.402 0.609 0.221
Pt1 0.214 0.555 0.803
```

Properties
polymorph energy (0 for the lowest one): 0 meV per atom
energy of formation: -0.76 eV/atom
Fermi-level density of states: 2.255 states/eV per atom

# 6
Here is crystalline CeErPt at its relaxed geometry from the Alexandria database. Energies are from PBE.

```
data_CeErPt
_chemical_formula_sum 'Ce4 Er4 Pt4'
_space_group_name_H-M_alt 'F -4 3 m'
_space_group_IT_number 216
_space_group_name_Hall 'F -4 2 3'
_cell_length_a 6.925
_cell_length_b 6.925
_cell_length_c 6.925
_cell_angle_alpha 90.00
_cell_angle_beta 90.00
_cell_angle_gamma 90.00
loop_
_atom_site_label
_atom_site_fract_x
_atom_site_fract_y
_atom_site_fract_z
Ce1 0.000 0.000 0.000
Er1 0.000 0.000 0.500
Pt1 0.250 0.250 0.750
```

Properties
polymorph energy (0 for the lowest one): 66 meV per atom
energy of formation: -0.70 eV/atom
Fermi-level density of states: 2.571 states/eV per atom

# 7
Here is crystalline CeErPt4 at its relaxed geometry from the Alexandria database. Energies are from PBE.

```
data_CeErPt4
_chemical_formula_sum 'Ce4 Er4 Pt16'
_space_group_name_H-M_alt 'C m c m'
_space_group_IT_number 63
_space_group_name_Hall '-C 2c 2'
_cell_length_a 4.209
_cell_length_b 19.560
_cell_length_c 5.758
_cell_angle_alpha 90.00
_cell_angle_beta 90.00
_cell_angle_gamma 90.00
loop_
_atom_site_label
_atom_site_fract_x
_atom_site_fract_y
_atom_site_fract_z
Ce1 0.000 0.224 0.250
Er1 0.000 0.077 0.750
Pt1 0.000 0.072 0.250
Pt2 0.000 0.351 0.508
Pt3 0.000 0.500 0.000
```

Properties
polymorph energy (0 for the lowest one): 0 meV per atom
energy of formation: -1.10 eV/atom
Fermi-level density of states: 0.678 states/eV per atom

# 8
Here is crystalline CeEr2Pt at its relaxed geometry from the Alexandria database. Energies are from PBE.

```
data_CeEr2Pt
_chemical_formula_sum 'Ce1 Er2 Pt1'
_space_group_name_H-M_alt 'P 4/m m m'
_space_group_IT_number 123
_space_group_name_Hall '-P 4 2'
_cell_length_a 3.500
_cell_length_b 3.500
_cell_length_c 8.443
_cell_angle_alpha 90.00
_cell_angle_beta 90.00
_cell_angle_gamma 90.00
loop_
_atom_site_label
_atom_site_fract_x
_atom_site_fract_y
_atom_site_fract_z
Ce1 0.000 0.000 0.000
Er1 0.500 0.500 0.305
Pt1 0.000 0.000 0.500
```

Properties
polymorph energy (0 for the lowest one): 0 meV per atom
energy of formation: -0.59 eV/atom
Fermi-level density of states: 1.671 states/eV per atom

# 9
Here is crystalline CeErPt at its relaxed geometry from the Alexandria database. Energies are from PBE.

```
data_CeErPt
_chemical_formula_sum 'Ce1 Er1 Pt1'
_space_group_name_H-M_alt 'P 3 m 1'
_space_group_IT_number 156
_cell_length_a 4.6566
_cell_length_b 4.6566
_cell_length_c 4.0877
_cell_angle_alpha 90.00
_cell_angle_beta 90.00
_cell_angle_gamma 120.00
loop_
_space_group_symop_operation_xyz
'x,y,z'
'-y,x-y,z'
'-x+y,-x,z'
'-y,-x,z'
'-x+y,y,z'
'x,x-y,z'
loop_
_atom_site_label
_atom_site_fract_x
_atom_site_fract_y
_atom_site_fract_z
Ce1 0.0000 0.0000 0.0000
Er1 0.6667 0.3333 0.4663
Pt1 0.3333 0.6667 0.6756
```

Properties
polymorph energy (0 for the lowest one): 179 meV per atom
energy of formation: -0.58 eV/atom
Fermi-level density of states: 2.295 states/eV per atom

# 10
Here is crystalline CeEr2Si2Pt7 at its relaxed geometry from the Alexandria database. Energies are from PBE.

```
data_CeEr2Si2Pt7
_chemical_formula_sum 'Ce2 Er4 Si4 Pt14'
_space_group_name_H-M_alt 'C 1 2/m 1'
_space_group_IT_number 12
_cell_length_a 5.758
_cell_length_b 5.681
_cell_length_c 13.897
_cell_angle_alpha 90.00
_cell_angle_beta 98.87
_cell_angle_gamma 90.00
loop_
_space_group_symop_operation_xyz
'x,y,z'
'-x,-y,-z'
'-x,y,-z'
'x,-y,z'
'x+1/2,y+1/2,z'
'-x+1/2,-y+1/2,-z'
'-x+1/2,y+1/2,-z'
'x+1/2,-y+1/2,z'
loop_
_atom_site_label
_atom_site_fract_x
_atom_site_fract_y
_atom_site_fract_z
Ce1 0.000 0.000 0.000
Er1 0.121 0.000 0.360
Si1 0.101 0.500 0.262
Pt1 0.000 0.500 0.000
Pt2 0.138 0.500 0.430
Pt3 0.184 0.250 0.834
```

Properties
E: -6.7435 eV/atom
Fermi-level density of states: 0.694 states/eV per atom

# 11
Here is crystalline CeErSi2Pt5 at its relaxed geometry from the Alexandria database. Energies are from PBE.

```
data_CeErSi2Pt5
_chemical_formula_sum 'Ce1 Er1 Si2 Pt5'
_space_group_name_H-M_alt 'P 4/m m m'
_space_group_IT_number 123
_space_group_name_Hall '-P 4 2'
_cell_length_a 4.095
_cell_length_b 4.095
_cell_length_c 11.224
_cell_angle_alpha 90.00
_cell_angle_beta 90.00
_cell_angle_gamma 90.00
loop_
_atom_site_label
_atom_site_fract_x
_atom_site_fract_y
_atom_site_fract_z
Ce1 0.000 0.000 0.000
Er1 0.000 0.000 0.500
Si1 0.500 0.500 0.210
Pt1 0.000 0.500 0.315
Pt2 0.500 0.500 0.000
```

Properties
E: -6.6349 eV/atom
Fermi-level density of states: 1.124 states/eV per atom

# 12
Here is crystalline CeErSi2Pt2 at its relaxed geometry from the Alexandria database. Energies are from PBE.

```
data_CeErSi2Pt2
_chemical_formula_sum 'Ce1 Er1 Si2 Pt2'
_space_group_name_H-M_alt 'P -3 m 1'
_space_group_IT_number 164
_space_group_name_Hall '-P 3 2"'
_cell_length_a 4.2180
_cell_length_b 4.2180
_cell_length_c 7.8150
_cell_angle_alpha 90.00
_cell_angle_beta 90.00
_cell_angle_gamma 120.00
loop_
_atom_site_label
_atom_site_fract_x
_atom_site_fract_y
_atom_site_fract_z
Ce1 0.0000 0.0000 0.0000
Er1 0.0000 0.0000 0.5000
Si1 0.3333 0.6667 0.7505
Pt1 0.3333 0.6667 0.2665
```

Properties
E: -6.7070 eV/atom
Fermi-level density of states: 1.039 states/eV per atom

# 13
Here is crystalline Ce2ErSi3Pt12 at its relaxed geometry from the Alexandria database. Energies are from PBE.

```
data_Ce2ErSi3Pt12
_chemical_formula_sum 'Ce6 Er3 Si9 Pt36'
_space_group_name_H-M_alt 'R -3 m'
_space_group_IT_number 166
_space_group_name_Hall '-R 3 2"'
_cell_length_a 8.3310
_cell_length_b 8.3310
_cell_length_c 17.7381
_cell_angle_alpha 90.00
_cell_angle_beta 90.00
_cell_angle_gamma 120.00
loop_
_atom_site_label
_atom_site_fract_x
_atom_site_fract_y
_atom_site_fract_z
Ce1 0.0000 0.0000 0.1004
Er1 0.0000 0.0000 0.5000
Si1 0.0000 0.5000 0.0000
Pt1 0.0300 0.5150 0.3682
Pt2 0.0334 0.5167 0.8662
```

Properties
E: -6.4277 eV/atom
Fermi-level density of states: 0.651 states/eV per atom

# 14
Here is crystalline CeErTcPt at its relaxed geometry from the Alexandria database. Energies are from PBE.

```
data_CeErTcPt
_chemical_formula_sum 'Ce4 Er4 Tc4 Pt4'
_space_group_name_H-M_alt 'F -4 3 m'
_space_group_IT_number 216
_space_group_name_Hall 'F -4 2 3'
_cell_length_a 6.933
_cell_length_b 6.933
_cell_length_c 6.933
_cell_angle_alpha 90.00
_cell_angle_beta 90.00
_cell_angle_gamma 90.00
loop_
_atom_site_label
_atom_site_fract_x
_atom_site_fract_y
_atom_site_fract_z
Ce1 0.000 0.000 0.000
Er1 0.000 0.000 0.500
Tc1 0.250 0.250 0.750
Pt1 0.250 0.250 0.250
```

Properties
energy of formation: -0.54 eV/atom
Fermi-level density of states: 0.629 states/eV per atom

# 15
Here is crystalline CeErTlPt at its relaxed geometry from the Alexandria database. Energies are from PBE.

```
data_CeErTlPt
_chemical_formula_sum 'Ce4 Er4 Tl4 Pt4'
_space_group_name_H-M_alt 'F -4 3 m'
_space_group_IT_number 216
_space_group_name_Hall 'F -4 2 3'
_cell_length_a 7.354
_cell_length_b 7.354
_cell_length_c 7.354
_cell_angle_alpha 90.00
_cell_angle_beta 90.00
_cell_angle_gamma 90.00
loop_
_atom_site_label
_atom_site_fract_x
_atom_site_fract_y
_atom_site_fract_z
Ce1 0.000 0.000 0.000
Er1 0.000 0.000 0.500
Tl1 0.250 0.250 0.250
Pt1 0.250 0.250 0.750
```

Properties
energy of formation: -0.58 eV/atom
Fermi-level density of states: 1.611 states/eV per atom

# 16
Here is crystalline CeErZnPt at its relaxed geometry from the Alexandria database. Energies are from PBE.

```
data_CeErZnPt
_chemical_formula_sum 'Ce4 Er4 Zn4 Pt4'
_space_group_name_H-M_alt 'F -4 3 m'
_space_group_IT_number 216
_space_group_name_Hall 'F -4 2 3'
_cell_length_a 7.099
_cell_length_b 7.099
_cell_length_c 7.099
_cell_angle_alpha 90.00
_cell_angle_beta 90.00
_cell_angle_gamma 90.00
loop_
_atom_site_label
_atom_site_fract_x
_atom_site_fract_y
_atom_site_fract_z
Ce1 0.000 0.000 0.000
Er1 0.000 0.000 0.500
Zn1 0.250 0.250 0.250
Pt1 0.250 0.250 0.750
```

Properties
energy of formation: -0.68 eV/atom
Fermi-level density of states: 1.736 states/eV per atom

# 17
Here is crystalline Ce14ErPu at its relaxed geometry from the Alexandria database. Energies are from PBE.

```
data_Ce14ErPu
_chemical_formula_sum 'Ce28 Er2 Pu2'
_space_group_name_H-M_alt 'A m m 2'
_space_group_IT_number 38
_cell_length_a 9.423
_cell_length_b 9.451
_cell_length_c 9.456
_cell_angle_alpha 90.00
_cell_angle_beta 90.00
_cell_angle_gamma 90.00
loop_
_space_group_symop_operation_xyz
'x,y,z'
'-x,-y,z'
'-x,y,z'
'x,-y,z'
'x,y+1/2,z+1/2'
'-x,-y+1/2,z+1/2'
'-x,y+1/2,z+1/2'
'x,-y+1/2,z+1/2'
loop_
_atom_site_label
_atom_site_fract_x
_atom_site_fract_y
_atom_site_fract_z
Ce1 0.000 0.000 0.000
Ce2 0.000 0.000 0.500
Ce3 0.000 0.250 0.250
Ce4 0.247 0.000 0.251
Ce5 0.248 0.000 0.748
Ce6 0.248 0.248 0.500
Ce7 0.500 0.250 0.250
Er1 0.500 0.000 0.000
Pu1 0.500 0.000 0.499
```

Properties
energy of formation: 0.04 eV/atom
Fermi-level density of states: 2.292 states/eV per atom

# 18
Here is crystalline CeErPu at its relaxed geometry from the Alexandria database. Energies are from PBE.

```
data_CeErPu
_chemical_formula_sum 'Ce1 Er1 Pu1'
_space_group_name_H-M_alt 'P 3 m 1'
_space_group_IT_number 156
_cell_length_a 5.4934
_cell_length_b 5.4934
_cell_length_c 3.2665
_cell_angle_alpha 90.00
_cell_angle_beta 90.00
_cell_angle_gamma 120.00
loop_
_space_group_symop_operation_xyz
'x,y,z'
'-y,x-y,z'
'-x+y,-x,z'
'-y,-x,z'
'-x+y,y,z'
'x,x-y,z'
loop_
_atom_site_label
_atom_site_fract_x
_atom_site_fract_y
_atom_site_fract_z
Ce1 0.0000 0.0000 0.0000
Er1 0.6667 0.3333 0.4996
Pu1 0.3333 0.6667 0.5014
```

Properties
polymorph energy (0 for the lowest one): 83 meV per atom
energy of formation: 0.19 eV/atom
Fermi-level density of states: 3.782 states/eV per atom

# 19
Here is crystalline CeErPu at its relaxed geometry from the Alexandria database. Energies are from PBE.

```
data_CeErPu
_chemical_formula_sum 'Ce2 Er2 Pu2'
_space_group_name_H-M_alt 'P m m n'
_space_group_IT_number 59
_cell_length_a 3.401
_cell_length_b 5.204
_cell_length_c 9.389
_cell_angle_alpha 90.00
_cell_angle_beta 90.00
_cell_angle_gamma 90.00
loop_
_space_group_symop_operation_xyz
'x,y,z'
'-x,-y,-z'
'-x+1/2,-y+1/2,z'
'x+1/2,y+1/2,-z'
'x+1/2,-y,-z'
'-x+1/2,y,z'
'-x,y+1/2,-z'
'x,-y+1/2,z'
loop_
_atom_site_label
_atom_site_fract_x
_atom_site_fract_y
_atom_site_fract_z
Ce1 0.250 0.250 0.212
Er1 0.250 0.250 0.594
Pu1 0.250 0.750 0.084
```

Properties
polymorph energy (0 for the lowest one): 11 meV per atom
energy of formation: 0.12 eV/atom
Fermi-level density of states: 2.648 states/eV per atom

# 20
Here is crystalline CeErPu at its relaxed geometry from the Alexandria database. Energies are from PBE.

```
data_CeErPu
_chemical_formula_sum 'Ce2 Er2 Pu2'
_space_group_name_H-M_alt 'I 4 m m'
_space_group_IT_number 107
_space_group_name_Hall 'I 4 -2'
_cell_length_a 3.440
_cell_length_b 3.440
_cell_length_c 14.160
_cell_angle_alpha 90.00
_cell_angle_beta 90.00
_cell_angle_gamma 90.00
loop_
_atom_site_label
_atom_site_fract_x
_atom_site_fract_y
_atom_site_fract_z
Ce1 0.000 0.000 0.000
Er1 0.000 0.000 0.322
Pu1 0.000 0.000 0.648
```

Properties
polymorph energy (0 for the lowest one): 0 meV per atom
energy of formation: 0.11 eV/atom
Fermi-level density of states: 2.413 states/eV per atom